PBE+U Li9Ni10O20, optimized geometry; VASP energy = -188.352 eV for the cell shown
1.0
6.462 0.000 0.000
0.149 7.620 0.000
0.167 2.958 7.038
Li Ni O
9 10 20
Direct
0.000 0.000 0.000
0.104 0.399 0.896
0.207 0.805 0.792
0.306 0.191 0.692
0.403 0.607 0.595
0.597 0.393 0.405
0.694 0.809 0.308
0.793 0.195 0.208
0.896 0.601 0.104
0.000 0.500 0.500
0.106 0.899 0.402
0.202 0.298 0.303
0.299 0.699 0.195
0.403 0.099 0.102
0.500 0.500 0.000
0.597 0.901 0.898
0.701 0.301 0.805
0.798 0.702 0.697
0.894 0.101 0.598
0.019 0.753 0.247
0.082 0.650 0.639
0.127 0.153 0.161
0.182 0.048 0.547
0.223 0.554 0.051
0.277 0.443 0.444
0.322 0.955 0.953
0.385 0.838 0.336
0.422 0.360 0.856
0.486 0.273 0.221
0.514 0.727 0.779
0.578 0.640 0.144
0.615 0.162 0.664
0.678 0.045 0.047
0.723 0.557 0.556
0.777 0.446 0.949
0.818 0.952 0.453
0.873 0.847 0.839
0.918 0.350 0.361
0.981 0.247 0.753